[1]
Below is a geometry-optimized YTa2P structure, with properties calculated at the GGA-PBE level.

Summary:
Final energy: -9.013 eV per atom
DOS(E_F): 4.1 states/eV/f.u.

abc: 6.0418 6.0418 6.0418
angles: 150.89 132.65 56.55
Element x y z (fractional)
Y 0.0000 0.0000 0.0000
Ta 0.3042 0.8042 0.5000
Ta 0.6958 0.1958 0.5000
P 0.5000 0.5000 0.0000

---

[2]
Below is a geometry-optimized LiCrCd3 structure, with properties calculated at the GGA-PBE level.

Summary:
ΔE to the lowest computed polymorph: 0.000 eV per atom
DOS(E_F): 2.5 states/eV/f.u.

abc: 5.2789 5.2789 5.2789
angles: 90.00 90.00 90.00
Element x y z (fractional)
Li 0.0000 0.0000 0.0000
Cr 0.5000 0.5000 0.5000
Cd 0.0000 0.5000 0.5000
Cd 0.5000 0.0000 0.5000
Cd 0.5000 0.5000 0.0000

---

[3]
Below is a geometry-optimized Pu2Al4Cu3Ag structure, with properties calculated at the GGA-PBE level.

Summary:
Final energy: -6.056 eV per atom
DOS(E_F): 24.0 states/eV/f.u.

abc: 4.1859 4.1859 10.4894
angles: 90.00 90.00 90.00
Element x y z (fractional)
Pu 0.0000 0.5000 0.2440
Pu 0.5000 0.0000 0.7560
Al 0.0000 0.0000 0.0000
Al 0.0000 0.5000 0.6422
Al 0.5000 0.0000 0.3578
Al 0.5000 0.5000 0.0000
Cu 0.0000 0.5000 0.8718
Cu 0.5000 0.0000 0.1282
Cu 0.5000 0.5000 0.5000
Ag 0.0000 0.0000 0.5000

---

[4]
Below is a geometry-optimized Cs2KHfI6 structure, with properties calculated at the GGA-PBE level.

Summary:
E_form (uncorrected): -1196 meV per atom
ΔE to the lowest computed polymorph: 0.000 eV per atom
DOS(E_F): 5.9 states/eV/f.u.

abc: 17.1959 17.1959 17.1959
angles: 28.71 28.71 28.71
Element x y z (fractional)
Cs 0.1377 0.1377 0.1377
Cs 0.3063 0.3063 0.3063
Cs 0.6937 0.6937 0.6937
Cs 0.8623 0.8623 0.8623
K 0.4156 0.4156 0.4156
K 0.5844 0.5844 0.5844
Hf 0.0000 0.0000 0.0000
Hf 0.5000 0.5000 0.5000
I 0.1412 0.6288 0.6288
I 0.1939 0.1939 0.7152
I 0.1939 0.7152 0.1939
I 0.2848 0.8061 0.8061
I 0.3712 0.3712 0.8588
I 0.3712 0.8588 0.3712
I 0.6288 0.1412 0.6288
I 0.6288 0.6288 0.1412
I 0.7152 0.1939 0.1939
I 0.8061 0.2848 0.8061
I 0.8061 0.8061 0.2848
I 0.8588 0.3712 0.3712

---

[5]
Below is a geometry-optimized Sr2ZnF structure, with properties calculated at the GGA-PBE level.

Summary:
E_form (uncorrected): -976 meV per atom
ΔE to the lowest computed polymorph: 0.402 eV per atom
DOS(E_F): 3.9 states/eV/f.u.

abc: 5.4162 5.4162 5.4162
angles: 60.00 60.00 60.00
Element x y z (fractional)
Sr 0.2500 0.2500 0.2500
Sr 0.7500 0.7500 0.7500
Zn 0.0000 0.0000 0.0000
F 0.5000 0.5000 0.5000

---

[6]
Below is a geometry-optimized K2ErInCl6 structure, with properties calculated at the GGA-PBE level.

Summary:
E_form (uncorrected): -1893 meV per atom
DOS(E_F): 0.0 states/eV/f.u.

abc: 8.0117 8.0117 8.0117
angles: 57.37 57.37 57.37
Element x y z (fractional)
K 0.0000 0.0000 0.0000
K 0.4885 0.4885 0.4885
Er 0.6977 0.6977 0.6977
In 0.2093 0.2093 0.2093
Cl 0.0325 0.4612 0.8091
Cl 0.3567 0.8980 0.5916
Cl 0.4612 0.8091 0.0325
Cl 0.5916 0.3567 0.8980
Cl 0.8091 0.0325 0.4612
Cl 0.8980 0.5916 0.3567

---

[7]
Below is a geometry-optimized Tl4IBr2F structure, with properties calculated at the GGA-PBE level.

Summary:
E_form (uncorrected): -982 meV per atom
DOS(E_F): 0.0 states/eV/f.u.

abc: 9.5074 9.5074 9.3615
angles: 119.47 119.47 90.97
Element x y z (fractional)
Tl 0.1780 0.3010 0.9896
Tl 0.2440 0.7549 0.9883
Tl 0.2451 0.7560 0.5117
Tl 0.3010 0.1780 0.4896
Tl 0.6990 0.8220 0.5104
Tl 0.7549 0.2440 0.4883
Tl 0.7560 0.2451 0.0117
Tl 0.8220 0.6990 0.0104
I 0.5000 0.5000 0.0000
I 0.5000 0.5000 0.5000
Br 0.0000 0.0000 0.0000
Br 0.0000 0.0000 0.5000
Br 0.0000 0.5000 0.5000
Br 0.5000 0.0000 0.0000
F 0.0000 0.5000 0.0000
F 0.5000 0.0000 0.5000

---

[8]
Below is a geometry-optimized Nd2Al6Cu3 structure, with properties calculated at the GGA-PBE level.

Summary:
Final energy: -4.393 eV per atom
DOS(E_F): 5.8 states/eV/f.u.

abc: 7.7099 7.7099 4.0616
angles: 90.00 90.00 120.00
Element x y z (fractional)
Nd 0.3333 0.6667 0.0000
Nd 0.6667 0.3333 0.0000
Al 0.0000 0.1960 0.0000
Al 0.0000 0.6946 0.5000
Al 0.1960 0.0000 0.0000
Al 0.3054 0.3054 0.5000
Al 0.6946 0.0000 0.5000
Al 0.8040 0.8040 0.0000
Cu 0.0000 0.3678 0.5000
Cu 0.3678 0.0000 0.5000
Cu 0.6322 0.6322 0.5000

---

[9]
Below is a geometry-optimized Y3SnIr structure, with properties calculated at the GGA-PBE level.

Summary:
ΔE to the lowest computed polymorph: 0.218 eV per atom
DOS(E_F): 6.2 states/eV/f.u.

abc: 5.3469 5.3469 5.3469
angles: 90.00 90.00 90.00
Element x y z (fractional)
Y 0.0000 0.0000 0.5000
Y 0.0000 0.5000 0.0000
Y 0.5000 0.0000 0.0000
Sn 0.5000 0.5000 0.5000
Ir 0.0000 0.0000 0.0000

---

[10]
Below is a geometry-optimized Li3ThGa3 structure, with properties calculated at the GGA-PBE level.

Summary:
ΔE to the lowest computed polymorph: 0.000 eV per atom
DOS(E_F): 2.8 states/eV/f.u.

abc: 7.0609 4.3125 9.1500
angles: 90.00 107.56 90.00
Element x y z (fractional)
Li 0.0087 0.2500 0.1407
Li 0.2194 0.2500 0.9233
Li 0.2578 0.7500 0.2654
Li 0.7422 0.2500 0.7346
Li 0.7806 0.7500 0.0767
Li 0.9913 0.7500 0.8593
Th 0.3807 0.7500 0.6878
Th 0.6193 0.2500 0.3122
Ga 0.0282 0.2500 0.6243
Ga 0.2375 0.2500 0.4283
Ga 0.4102 0.7500 0.0484
Ga 0.5898 0.2500 0.9516
Ga 0.7625 0.7500 0.5717
Ga 0.9718 0.7500 0.3757

---

[11]
Below is a geometry-optimized SiBAu structure, with properties calculated at the GGA-PBE level.

Summary:
E_form (uncorrected): 166 meV per atom
DOS(E_F): 0.7 states/eV/f.u.

abc: 3.4492 6.2897 4.3509
angles: 90.00 90.39 90.00
Element x y z (fractional)
Si 0.0000 0.1984 0.0000
Si 0.0000 0.8016 0.0000
B 0.5000 0.3642 0.0000
B 0.5000 0.6358 0.0000
Au 0.0014 0.0000 0.5000
Au 0.4962 0.5000 0.5000

---

Question: What is the formula in the first record?
Answer: YTa2P

---

Question: The highest DOS(E_F) belongs to which entry?
Answer: Pu2Al4Cu3Ag